Hg2PtPb: relaxed, GGA-PBE.

Lattice parameters (Å, degrees): 3.1544 3.5508 8.2067 90.00 90.00 90.00
With the nearest neighbours (Å) after each atom.
Sites, in units of the cell vectors:
Hg 0.0000 0.0000 0.9552  4 Pt 2.91, 2 Hg 3.15
Hg 0.0000 0.0000 0.5448  4 Pt 2.91, 2 Hg 3.15
Pb 0.5000 0.5000 0.2500  2 Pb 3.15, 8 Hg 3.39
Pt 0.5000 0.5000 0.7500  8 Hg 2.91, 2 Pt 3.15

Computed properties:
Size of the total moment, μB/atom: 0.000
Crystal system: orthorhombic
Energy of formation from the pure elements, eV/f.u.: 0.416
DFT total energy, eV/cell: -9.937

CeNd3Pu2As6: relaxed, GGA-PBE.

Lattice parameters (Å, degrees): 7.3073 7.3073 7.3055 99.59 99.59 120.00
With the nearest neighbours (Å) after each atom.
Sites, in units of the cell vectors:
Ce 0.0000 0.0000 0.0000  6 As 2.96
Nd 0.1662 0.8338 0.5000  6 As 3.01-3.03
Nd 0.8338 0.1662 0.5000  6 As 3.01-3.03
Nd 0.5000 0.5000 0.5000  6 As 3.01-3.03
Pu 0.3333 0.6667 0.0000  6 As 2.94
Pu 0.6667 0.3333 0.0000  6 As 2.94
As 0.9199 0.5845 0.7598  2 Pu 2.94, 1 Ce 2.96, 3 Nd 3.01-3.03
As 0.7444 0.7444 0.2399  2 Pu 2.94, 1 Ce 2.96, 3 Nd 3.01-3.03
As 0.0801 0.4155 0.2402  2 Pu 2.94, 1 Ce 2.96, 3 Nd 3.01-3.03
As 0.5845 0.9199 0.7598  2 Pu 2.94, 1 Ce 2.96, 3 Nd 3.01-3.03
As 0.2556 0.2556 0.7601  2 Pu 2.94, 1 Ce 2.96, 3 Nd 3.01-3.03
As 0.4155 0.0801 0.2402  2 Pu 2.94, 1 Ce 2.96, 3 Nd 3.01-3.03

Computed properties:
Size of the total moment, μB/atom: 0.894
Crystal system: monoclinic
Energy of formation from the pure elements, eV/f.u.: -15.996
DFT total energy, eV/cell: -92.795

AlGa2Cu7Au2: relaxed, GGA-PBE.

Lattice parameters (Å, degrees): 3.5410 3.5410 14.2692 83.44 83.44 90.02
With the nearest neighbours (Å) after each atom.
Sites, in units of the cell vectors:
Al 0.0000 0.0000 0.0000  12 Cu 2.50-2.59
Ga 0.8330 0.8330 0.3618  1 Cu 2.45
Ga 0.1670 0.1670 0.6382  1 Cu 2.45
Cu 0.5000 0.5000 0.0000  4 Al 2.50, 8 Cu 2.59
Cu 0.2662 0.2662 0.4647  1 Ga 2.45, 1 Au 2.64, 4 Cu 2.69
Cu 0.7338 0.7338 0.5353  1 Ga 2.45, 1 Au 2.64, 4 Cu 2.69
Cu 0.9391 0.4390 0.1342  6 Cu 2.50-2.59, 2 Al 2.59, 2 Au 2.68-2.69
Cu 0.4390 0.9391 0.1342  6 Cu 2.50-2.59, 2 Al 2.59, 2 Au 2.68-2.69
Cu 0.5610 0.0609 0.8658  6 Cu 2.50-2.59, 2 Al 2.59, 2 Au 2.68-2.69
Cu 0.0609 0.5610 0.8658  6 Cu 2.50-2.59, 2 Al 2.59, 2 Au 2.68-2.69
Au 0.6253 0.6253 0.7224  5 Cu 2.64-2.69, 4 Ga 2.76-2.78
Au 0.3747 0.3747 0.2776  5 Cu 2.64-2.69, 4 Ga 2.76-2.78

Computed properties:
Size of the total moment, μB/atom: 0.000
Crystal system: monoclinic
Energy of formation from the pure elements, eV/f.u.: -0.436
DFT total energy, eV/cell: -45.461

HoTh3Sc3: relaxed, GGA-PBE.

Lattice parameters (Å, degrees): 7.7114 7.7114 7.7114 72.14 72.14 72.14
With the nearest neighbours (Å) after each atom.
Sites, in units of the cell vectors:
Ho 0.2517 0.2517 0.2517  6 Th 3.43-3.49, 6 Sc 3.45-3.46
Ho 0.7483 0.7483 0.7483  6 Th 3.43-3.49, 6 Sc 3.45-3.46
Th 0.6763 0.1137 0.9583  5 Sc 3.37-3.49, 2 Ho 3.43-3.49, 5 Th 3.47-3.49
Th 0.1137 0.9583 0.6763  5 Sc 3.37-3.49, 2 Ho 3.43-3.49, 5 Th 3.47-3.49
Th 0.9583 0.6763 0.1137  5 Sc 3.37-3.49, 2 Ho 3.43-3.49, 5 Th 3.47-3.49
Th 0.0417 0.3237 0.8863  5 Sc 3.37-3.49, 2 Ho 3.43-3.49, 5 Th 3.47-3.49
Th 0.8863 0.0417 0.3237  5 Sc 3.37-3.49, 2 Ho 3.43-3.49, 5 Th 3.47-3.49
Th 0.3237 0.8863 0.0417  5 Sc 3.37-3.49, 2 Ho 3.43-3.49, 5 Th 3.47-3.49
Sc 0.6095 0.4652 0.1826  5 Th 3.37-3.49, 5 Sc 3.38-3.54, 2 Ho 3.45-3.46
Sc 0.1826 0.6095 0.4652  5 Th 3.37-3.49, 5 Sc 3.38-3.54, 2 Ho 3.45-3.46
Sc 0.4652 0.1826 0.6095  5 Th 3.37-3.49, 5 Sc 3.38-3.54, 2 Ho 3.45-3.46
Sc 0.5348 0.8174 0.3905  5 Th 3.37-3.49, 5 Sc 3.38-3.54, 2 Ho 3.45-3.46
Sc 0.8174 0.3905 0.5348  5 Th 3.37-3.49, 5 Sc 3.38-3.54, 2 Ho 3.45-3.46
Sc 0.3905 0.5348 0.8174  5 Th 3.37-3.49, 5 Sc 3.38-3.54, 2 Ho 3.45-3.46

Computed properties:
Size of the total moment, μB/atom: 0.000
E above lowest polymorph, kcal/mol of atoms: 0.000
Crystal system: trigonal
Energy of formation from the pure elements, eV/f.u.: 0.397
DFT total energy, eV/cell: -90.869

MoP2I: relaxed, GGA-PBE.

Lattice parameters (Å, degrees): 6.4151 6.4151 7.0038 62.74 62.74 90.00
With the nearest neighbours (Å) after each atom.
Sites, in units of the cell vectors:
I 0.0000 0.0000 0.0000  4 P 3.07
I 0.7500 0.2500 0.5000  4 P 3.07
P 0.5241 0.1250 0.2500  2 Mo 2.29
P 0.2259 0.6250 0.2500  2 Mo 2.29
P 0.3750 0.4759 0.7500  2 Mo 2.29
P 0.8750 0.7741 0.7500  2 Mo 2.29
Mo 0.5000 0.5000 0.0000  4 P 2.29
Mo 0.2500 0.7500 0.5000  4 P 2.29

Computed properties:
Size of the total moment, μB/atom: 0.000
Raw formation energy, meV per atom: 442
E above lowest polymorph, kcal/mol of atoms: 0.000
Crystal system: tetragonal
DFT total energy, eV/cell: -42.869

HfMgB3: relaxed, GGA-PBE.

Lattice parameters (Å, degrees): 4.0413 4.0413 4.0413 90.00 90.00 90.00
With the nearest neighbours (Å) after each atom.
Sites, in units of the cell vectors:
Mg 0.0000 0.0000 0.0000  6 B 2.02
B 0.0000 0.5000 0.0000  2 Mg 2.02
B 0.0000 0.0000 0.5000  2 Mg 2.02
B 0.5000 0.0000 0.0000  2 Mg 2.02
Hf 0.5000 0.5000 0.5000  12 B 2.86

Computed properties:
Size of the total moment, μB/atom: 0.000
E above lowest polymorph, kcal/mol of atoms: 4.341
Crystal system: cubic
Energy of formation from the pure elements, eV/f.u.: 7.986
DFT total energy, eV/cell: -23.594